w.
Density functional theory data (GGA-PBE) for AlSi2Ag2 after structural relaxation. Values from VASP.

Cell and atoms, written as Quantum ESPRESSO input:
```
&SYSTEM
  ibrav = 0, nat = 10, ntyp = 3
/
ATOMIC_SPECIES
Al 26.98 Al.upf
Si 28.09 Si.upf
Ag 107.87 Ag.upf
CELL_PARAMETERS angstrom
8.150 0.000 0.000
0.000 8.150 0.000
0.000 0.000 2.706
ATOMIC_POSITIONS crystal
Al 0.000 0.000 0.000
Al 0.500 0.500 0.000
Si 0.145 0.355 0.000
Si 0.355 0.855 0.000
Si 0.645 0.145 0.000
Si 0.855 0.645 0.000
Ag 0.153 0.653 0.500
Ag 0.347 0.153 0.500
Ag 0.653 0.847 0.500
Ag 0.847 0.347 0.500
```

**Symmetry**: P4/mbm, No. 127
**M_tot**: 0.000 μB/f.u.
**Density**: 5.52 g/cm3

x.
Density functional theory data (GGA-PBE) for AlSi2Ag2 after structural relaxation. Values from VASP.

Cell and atoms, written as Quantum ESPRESSO input:
```
&SYSTEM
  ibrav = 0, nat = 5, ntyp = 3
/
ATOMIC_SPECIES
Al 26.98 Al.upf
Si 28.09 Si.upf
Ag 107.87 Ag.upf
CELL_PARAMETERS angstrom
-1.709 1.709 7.655
1.709 -1.709 7.655
1.709 1.709 -7.655
ATOMIC_POSITIONS crystal
Al 0.000 0.000 0.000
Si 0.250 0.750 0.500
Si 0.750 0.250 0.500
Ag 0.403 0.403 0.000
Ag 0.597 0.597 0.000
```

**Symmetry**: I4/mmm, No. 139
**M_tot**: 0.000 μB/f.u.
**Density**: 5.55 g/cm3

Most favorable structure: x. The second most favorable one is 0.083 eV/atom above it.

w.
Density functional theory data (GGA-PBE) for Al3SiAg after structural relaxation. Values from VASP.

Cell and atoms, written as Quantum ESPRESSO input:
```
&SYSTEM
  ibrav = 0, nat = 5, ntyp = 3
/
ATOMIC_SPECIES
Al 26.98 Al.upf
Si 28.09 Si.upf
Ag 107.87 Ag.upf
CELL_PARAMETERS angstrom
4.794 0.000 0.000
0.000 4.794 0.000
0.000 0.000 4.794
ATOMIC_POSITIONS crystal
Al 0.000 0.000 0.500
Al 0.000 0.500 0.000
Al 0.500 0.000 0.000
Si 0.000 0.000 0.000
Ag 0.500 0.500 0.500
```

**Symmetry**: Pm-3m, No. 221
**M_tot**: 0.000 μB/f.u.
**Density**: 3.27 g/cm3

x.
Density functional theory data (GGA-PBE) for Al3SiAg after structural relaxation. Values from VASP.

Cell and atoms, written as Quantum ESPRESSO input:
```
&SYSTEM
  ibrav = 0, nat = 5, ntyp = 3
/
ATOMIC_SPECIES
Al 26.98 Al.upf
Si 28.09 Si.upf
Ag 107.87 Ag.upf
CELL_PARAMETERS angstrom
4.816 0.000 0.000
0.000 4.816 0.000
0.000 0.000 4.816
ATOMIC_POSITIONS crystal
Al 0.000 0.000 0.500
Al 0.000 0.500 0.000
Al 0.500 0.000 0.000
Si 0.500 0.500 0.500
Ag 0.000 0.000 0.000
```

**Symmetry**: Pm-3m, No. 221
**M_tot**: 0.000 μB/f.u.
**Density**: 3.22 g/cm3

Most favorable structure: w. The second most favorable one is 0.154 eV/atom above it.

w.
Density functional theory data (GGA-PBE) for SmAl3Ag2 after structural relaxation. Values from VASP.

Cell and atoms, written as Quantum ESPRESSO input:
```
&SYSTEM
  ibrav = 0, nat = 12, ntyp = 3
/
ATOMIC_SPECIES
Sm 150.36 Sm.upf
Al 26.98 Al.upf
Ag 107.87 Ag.upf
CELL_PARAMETERS angstrom
5.737 -3.709 0.000
5.737 3.709 0.000
0.000 0.000 5.816
ATOMIC_POSITIONS crystal
Sm 0.147 0.853 0.750
Sm 0.853 0.147 0.250
Al 0.020 0.399 0.750
Al 0.292 0.708 0.250
Al 0.399 0.020 0.250
Al 0.601 0.980 0.750
Al 0.708 0.292 0.750
Al 0.980 0.601 0.250
Ag 0.355 0.355 0.000
Ag 0.355 0.355 0.500
Ag 0.645 0.645 0.000
Ag 0.645 0.645 0.500
```

**Symmetry**: Cmcm, No. 63
**M_tot**: 0.000 μB/f.u.
**Density**: 6.00 g/cm3

x.
Density functional theory data (GGA-PBE) for SmAl3Ag2 after structural relaxation. Values from VASP.

Cell and atoms, written as Quantum ESPRESSO input:
```
&SYSTEM
  ibrav = 0, nat = 12, ntyp = 3
/
ATOMIC_SPECIES
Sm 150.36 Sm.upf
Al 26.98 Al.upf
Ag 107.87 Ag.upf
CELL_PARAMETERS angstrom
7.867 -2.216 0.000
7.867 2.216 0.000
-3.410 0.000 7.059
ATOMIC_POSITIONS crystal
Sm 0.145 0.145 0.101
Sm 0.855 0.855 0.899
Al 0.010 0.010 0.344
Al 0.315 0.315 0.538
Al 0.362 0.362 0.210
Al 0.638 0.638 0.790
Al 0.685 0.685 0.462
Al 0.990 0.990 0.656
Ag 0.181 0.181 0.667
Ag 0.481 0.481 0.815
Ag 0.519 0.519 0.185
Ag 0.819 0.819 0.333
```

**Symmetry**: C2/m, No. 12
**M_tot**: 0.000 μB/f.u.
**Density**: 6.03 g/cm3

Most favorable structure: x. The second most favorable one is 0.071 eV/atom above it.

w.
Density functional theory data (GGA-PBE) for SmAlAg4 after structural relaxation. Values from VASP.

Cell and atoms, written as Quantum ESPRESSO input:
```
&SYSTEM
  ibrav = 0, nat = 12, ntyp = 3
/
ATOMIC_SPECIES
Sm 150.36 Sm.upf
Al 26.98 Al.upf
Ag 107.87 Ag.upf
CELL_PARAMETERS angstrom
4.860 0.000 0.000
0.001 5.284 0.000
2.415 2.617 9.461
ATOMIC_POSITIONS crystal
Sm 0.250 0.231 0.499
Sm 0.750 0.769 0.501
Al 0.000 0.500 0.000
Al 0.500 0.000 0.000
Ag 0.075 0.007 0.851
Ag 0.148 0.581 0.706
Ag 0.353 0.787 0.294
Ag 0.425 0.358 0.149
Ag 0.575 0.642 0.851
Ag 0.647 0.213 0.706
Ag 0.852 0.419 0.294
Ag 0.925 0.993 0.149
```

**Symmetry**: P-1, No. 2
**M_tot**: 0.000 μB/f.u.
**Density**: 8.32 g/cm3

x.
Density functional theory data (GGA-PBE) for SmAlAg4 after structural relaxation. Values from VASP.

Cell and atoms, written as Quantum ESPRESSO input:
```
&SYSTEM
  ibrav = 0, nat = 6, ntyp = 3
/
ATOMIC_SPECIES
Sm 150.36 Sm.upf
Al 26.98 Al.upf
Ag 107.87 Ag.upf
CELL_PARAMETERS angstrom
0.000 3.940 3.940
3.940 0.000 3.940
3.940 3.940 0.000
ATOMIC_POSITIONS crystal
Sm 0.000 0.000 0.000
Al 0.750 0.750 0.750
Ag 0.375 0.375 0.375
Ag 0.375 0.375 0.874
Ag 0.375 0.874 0.375
Ag 0.874 0.375 0.375
```

**Symmetry**: F-43m, No. 216
**M_tot**: 0.000 μB/f.u.
**Density**: 8.27 g/cm3

Most favorable structure: x. The second most favorable one is 0.064 eV/atom above it.